Entry 1:
PBE Ca5Ga2Sn5, optimized geometry; symmetry = C2/m (12); volume = 330.2 Å³/cell; E_form = -0.525 eV per atom; VASP energy = -0.2595 Ry per atom
1.0
8.157 -2.383 0.000
8.157 2.383 0.000
-6.748 0.000 8.494
Ca Ga Sn
5 2 5
Direct
0.000 0.000 0.000
0.112 0.112 0.419
0.179 0.179 0.829
0.821 0.821 0.171
0.888 0.888 0.581
0.359 0.359 0.783
0.641 0.641 0.217
0.258 0.258 0.308
0.444 0.444 0.150
0.500 0.500 0.500
0.556 0.556 0.850
0.742 0.742 0.692

Entry 2:
PBE Ca6Ga2Sn, optimized geometry; symmetry = Immm (71); volume = 559.6 Å³/cell; E_form = -0.419 eV per atom; VASP energy = -0.2110 Ry per atom
1.0
-5.005 5.031 5.556
5.005 -5.031 5.556
5.005 5.031 -5.556
Ca Ga Sn
12 4 2
Direct
0.051 0.249 0.803
0.183 0.277 0.460
0.183 0.723 0.906
0.332 0.025 0.693
0.332 0.640 0.307
0.446 0.249 0.197
0.554 0.751 0.803
0.668 0.360 0.693
0.668 0.975 0.307
0.817 0.277 0.094
0.817 0.723 0.540
0.949 0.751 0.197
0.115 0.615 0.500
0.332 0.000 0.332
0.668 0.000 0.668
0.885 0.385 0.500
0.000 0.000 0.000
0.500 0.500 0.000

Entry 3:
PBE Ca2GaSn4, optimized geometry; symmetry = C2/m (12); volume = 195.6 Å³/cell; E_form = -0.367 eV per atom; VASP energy = -0.2689 Ry per atom
1.0
4.476 -4.467 0.000
4.476 4.467 0.000
-4.442 0.000 4.891
Ca Ga Sn
2 1 4
Direct
0.000 0.500 0.000
0.500 0.000 0.000
0.000 0.000 0.000
0.000 0.000 0.500
0.000 0.500 0.500
0.500 0.000 0.500
0.500 0.500 0.500

Entry 4:
PBE Ca2GaSn2, optimized geometry; energy above the most stable polymorph in this dataset = 5.56 kcal/mol of atoms; symmetry = P4/mbm (127); volume = 298.0 Å³/cell; E_form = -0.289 eV per atom; VASP energy = -0.2423 Ry per atom
1.0
8.412 0.000 0.000
0.000 8.412 0.000
0.000 0.000 4.210
Ca Ga Sn
4 2 4
Direct
0.175 0.325 0.000
0.325 0.825 0.000
0.675 0.175 0.000
0.825 0.675 0.000
0.000 0.000 0.000
0.500 0.500 0.000
0.124 0.624 0.500
0.376 0.124 0.500
0.624 0.876 0.500
0.876 0.376 0.500